1.
DFT (PBE) results for Mn5V3H12 after structural relaxation.

The value obtained for the density of states at the Fermi level is 0.31 states/eV per atom. The total energy is -5.685 eV per atom. The calculation puts the volume at 138 Å³/f.u.

Lattice parameters (Å, degrees): 8.9463 8.9463 8.9463 109.47 109.47 109.47
With the nearest neighbours (Å) after each atom.
Sites, in units of the cell vectors:
Mn 0.0000 0.0000 0.0000  6 H 1.72
Mn 0.0000 0.0000 0.5000  6 H 1.72
Mn 0.0000 0.5000 0.0000  6 H 1.72
Mn 0.0000 0.5000 0.5000  6 H 1.72
Mn 0.1250 0.7500 0.8750  4 H 1.72
Mn 0.1250 0.8750 0.2500  4 H 1.72
Mn 0.2500 0.1250 0.8750  4 H 1.72
Mn 0.2500 0.6250 0.3750  4 H 1.72
Mn 0.3750 0.2500 0.6250  4 H 1.72
Mn 0.3750 0.6250 0.7500  4 H 1.72
Mn 0.5000 0.0000 0.0000  6 H 1.72
Mn 0.5000 0.0000 0.5000  6 H 1.72
Mn 0.5000 0.5000 0.0000  6 H 1.72
Mn 0.5000 0.5000 0.5000  6 H 1.72
Mn 0.6250 0.3750 0.2500  4 H 1.72
Mn 0.6250 0.7500 0.3750  4 H 1.72
Mn 0.7500 0.3750 0.6250  4 H 1.72
Mn 0.7500 0.8750 0.1250  4 H 1.72
Mn 0.8750 0.1250 0.7500  4 H 1.72
Mn 0.8750 0.2500 0.1250  4 H 1.72
V 0.1250 0.2500 0.3750  8 H 1.87-1.89
V 0.1250 0.3750 0.7500  8 H 1.87-1.89
V 0.2500 0.3750 0.1250  8 H 1.87-1.89
V 0.2500 0.8750 0.6250  8 H 1.87-1.89
V 0.3750 0.1250 0.2500  8 H 1.87-1.89
V 0.3750 0.7500 0.1250  8 H 1.87-1.89
V 0.6250 0.2500 0.8750  8 H 1.87-1.89
V 0.6250 0.8750 0.7500  8 H 1.87-1.89
V 0.7500 0.1250 0.3750  8 H 1.87-1.89
V 0.7500 0.6250 0.8750  8 H 1.87-1.89
V 0.8750 0.6250 0.2500  8 H 1.87-1.89
V 0.8750 0.7500 0.6250  8 H 1.87-1.89
H 0.0593 0.2209 0.1412  2 Mn 1.72, 2 V 1.87-1.89
H 0.0593 0.3384 0.9181  2 Mn 1.72, 2 V 1.87-1.89
H 0.0797 0.7209 0.6616  2 Mn 1.72, 2 V 1.87-1.89
H 0.0797 0.8588 0.4181  2 Mn 1.72, 2 V 1.87-1.89
H 0.0819 0.6412 0.4203  2 Mn 1.72, 2 V 1.87-1.89
H 0.0819 0.9407 0.6616  2 Mn 1.72, 2 V 1.87-1.89
H 0.1412 0.0593 0.2209  2 Mn 1.72, 2 V 1.87-1.89
H 0.1412 0.5819 0.9203  2 Mn 1.72, 2 V 1.87-1.89
H 0.1616 0.2209 0.5797  2 Mn 1.72, 2 V 1.87-1.89
H 0.1616 0.4407 0.5819  2 Mn 1.72, 2 V 1.87-1.89
H 0.2209 0.1412 0.0593  2 Mn 1.72, 2 V 1.87-1.89
H 0.2209 0.5797 0.1616  2 Mn 1.72, 2 V 1.87-1.89
H 0.2791 0.3384 0.9203  2 Mn 1.72, 2 V 1.87-1.89
H 0.2791 0.4407 0.3588  2 Mn 1.72, 2 V 1.87-1.89
H 0.3384 0.9181 0.0593  2 Mn 1.72, 2 V 1.87-1.89
H 0.3384 0.9203 0.2791  2 Mn 1.72, 2 V 1.87-1.89
H 0.3588 0.2791 0.4407  2 Mn 1.72, 2 V 1.87-1.89
H 0.3588 0.5797 0.9181  2 Mn 1.72, 2 V 1.87-1.89
H 0.4181 0.0797 0.8588  2 Mn 1.72, 2 V 1.87-1.89
H 0.4181 0.8384 0.5593  2 Mn 1.72, 2 V 1.87-1.89
H 0.4203 0.0819 0.6412  2 Mn 1.72, 2 V 1.87-1.89
H 0.4203 0.8384 0.7791  2 Mn 1.72, 2 V 1.87-1.89
H 0.4407 0.3588 0.2791  2 Mn 1.72, 2 V 1.87-1.89
H 0.4407 0.5819 0.1616  2 Mn 1.72, 2 V 1.87-1.89
H 0.5593 0.4181 0.8384  2 Mn 1.72, 2 V 1.87-1.89
H 0.5593 0.6412 0.7209  2 Mn 1.72, 2 V 1.87-1.89
H 0.5797 0.1616 0.2209  2 Mn 1.72, 2 V 1.87-1.89
H 0.5797 0.9181 0.3588  2 Mn 1.72, 2 V 1.87-1.89
H 0.5819 0.1616 0.4407  2 Mn 1.72, 2 V 1.87-1.89
H 0.5819 0.9203 0.1412  2 Mn 1.72, 2 V 1.87-1.89
H 0.6412 0.4203 0.0819  2 Mn 1.72, 2 V 1.87-1.89
H 0.6412 0.7209 0.5593  2 Mn 1.72, 2 V 1.87-1.89
H 0.6616 0.0797 0.7209  2 Mn 1.72, 2 V 1.87-1.89
H 0.6616 0.0819 0.9407  2 Mn 1.72, 2 V 1.87-1.89
H 0.7209 0.5593 0.6412  2 Mn 1.72, 2 V 1.87-1.89
H 0.7209 0.6616 0.0797  2 Mn 1.72, 2 V 1.87-1.89
H 0.7791 0.4203 0.8384  2 Mn 1.72, 2 V 1.87-1.89
H 0.7791 0.8588 0.9407  2 Mn 1.72, 2 V 1.87-1.89
H 0.8384 0.5593 0.4181  2 Mn 1.72, 2 V 1.87-1.89
H 0.8384 0.7791 0.4203  2 Mn 1.72, 2 V 1.87-1.89
H 0.8588 0.4181 0.0797  2 Mn 1.72, 2 V 1.87-1.89
H 0.8588 0.9407 0.7791  2 Mn 1.72, 2 V 1.87-1.89
H 0.9181 0.0593 0.3384  2 Mn 1.72, 2 V 1.87-1.89
H 0.9181 0.3588 0.5797  2 Mn 1.72, 2 V 1.87-1.89
H 0.9203 0.1412 0.5819  2 Mn 1.72, 2 V 1.87-1.89
H 0.9203 0.2791 0.3384  2 Mn 1.72, 2 V 1.87-1.89
H 0.9407 0.6616 0.0819  2 Mn 1.72, 2 V 1.87-1.89
H 0.9407 0.7791 0.8588  2 Mn 1.72, 2 V 1.87-1.89

=====

2.
DFT (PBE) results for Mn5Pt6Au after structural relaxation.

The value obtained for the density of states at the Fermi level is 0.43 states/eV per atom. For the energy of formation, the calculation gives -0.325 eV/atom. The total energy is -7.439 eV per atom. The calculation puts the volume at 185 Å³/f.u.

Lattice parameters (Å, degrees): 7.4496 7.4496 7.4496 147.57 122.48 67.60
With the nearest neighbours (Å) after each atom.
Sites, in units of the cell vectors:
Mn 0.0000 0.0000 0.0000  8 Pt 2.63-2.70
Mn 0.1745 0.6745 0.5000  8 Pt 2.68-2.70, 4 Mn 2.95-3.00
Mn 0.3436 0.3436 0.0000  8 Pt 2.74-2.82, 2 Au 2.84, 2 Mn 2.95
Mn 0.6564 0.6564 0.0000  8 Pt 2.74-2.82, 2 Au 2.84, 2 Mn 2.95
Mn 0.8255 0.3255 0.5000  8 Pt 2.68-2.70, 4 Mn 2.95-3.00
Pt 0.0661 0.8303 0.2358  7 Mn 2.68-2.82, 1 Au 2.83, 4 Pt 2.89-2.96
Pt 0.2254 0.5000 0.7254  6 Mn 2.63-2.76, 2 Au 2.86
Pt 0.4054 0.1697 0.2358  7 Mn 2.68-2.82, 1 Au 2.83, 4 Pt 2.89-2.96
Pt 0.5946 0.8303 0.7642  7 Mn 2.68-2.82, 1 Au 2.83, 4 Pt 2.89-2.96
Pt 0.7746 0.5000 0.2746  6 Mn 2.63-2.76, 2 Au 2.86
Pt 0.9339 0.1697 0.7642  7 Mn 2.68-2.82, 1 Au 2.83, 4 Pt 2.89-2.96
Au 0.5000 0.0000 0.5000  8 Pt 2.83-2.86, 4 Mn 2.84

=====

3.
DFT (PBE) results for Tl3In4Ga2Hg2 after structural relaxation.

The value obtained for the density of states at the Fermi level is 0.41 states/eV per atom. For the energy of formation, the calculation gives 0.042 eV/atom. The total energy is -2.204 eV per atom. The calculation puts the volume at 308 Å³/f.u.

Lattice parameters (Å, degrees): 5.0475 5.0475 13.9702 90.00 90.00 120.00
With the nearest neighbours (Å) after each atom.
Sites, in units of the cell vectors:
Tl 0.0000 0.0000 0.0000  6 Hg 3.31, 6 In 3.66
Tl 0.0000 0.0000 0.2882  3 Ga 3.13, 6 In 3.43-3.47
Tl 0.0000 0.0000 0.7118  3 Ga 3.13, 6 In 3.43-3.47
In 0.3333 0.6667 0.4227  4 Ga 2.90-3.01
In 0.3333 0.6667 0.8414  1 Ga 2.95, 3 Hg 2.98
In 0.6667 0.3333 0.1586  1 Ga 2.95, 3 Hg 2.98
In 0.6667 0.3333 0.5773  4 Ga 2.90-3.01
Ga 0.3333 0.6667 0.6305  5 In 2.90-3.01, 3 Tl 3.13
Ga 0.6667 0.3333 0.3695  5 In 2.90-3.01, 3 Tl 3.13
Hg 0.3333 0.6667 0.1131  3 In 2.98, 3 Tl 3.31
Hg 0.6667 0.3333 0.8869  3 In 2.98, 3 Tl 3.31